No. 1
SrNdTm2Se4 PBE-GGA relaxed; ΔE_f (raw) = -1789 meV per atom; E_tot = -5.46 eV/atom; total magnetization = 0.0 μB/cell
1.0
7.207 0.000 0.000
0.000 4.124 0.000
-2.350 0.000 6.866
Sr Nd Tm Se
1 1 2 4
Direct
0.000 0.000 0.000 Sr
0.500 0.500 0.000 Nd
0.000 0.500 0.500 Tm
0.500 0.000 0.500 Tm
0.244 0.000 0.729 Se
0.259 0.500 0.272 Se
0.741 0.500 0.728 Se
0.756 0.000 0.271 Se

No. 2
PuInTeBr PBE-GGA relaxed; ΔE_f (raw) = -675 meV per atom; E_tot = -6.15 eV/atom; total magnetization = 24.0 μB/cell
1.0
7.761 0.000 0.000
0.000 7.761 0.000
0.000 0.000 7.761
Pu In Te Br
4 4 4 4
Direct
0.000 0.000 0.000 Pu
0.000 0.500 0.500 Pu
0.500 0.000 0.500 Pu
0.500 0.500 0.000 Pu
0.000 0.000 0.500 In
0.000 0.500 0.000 In
0.500 0.000 0.000 In
0.500 0.500 0.500 In
0.250 0.250 0.250 Te
0.250 0.750 0.750 Te
0.750 0.250 0.750 Te
0.750 0.750 0.250 Te
0.250 0.250 0.750 Br
0.250 0.750 0.250 Br
0.750 0.250 0.250 Br
0.750 0.750 0.750 Br

No. 3
MgMn2Br PBE-GGA relaxed; ΔE_f (raw) = 369 meV per atom; E_tot = -5.03 eV/atom; total magnetization = 0.0 μB/cell
1.0
3.628 0.000 0.000
-1.814 3.142 0.000
0.000 0.000 18.761
Mg Mn Br
3 6 3
Direct
0.000 0.000 0.000 Mg
0.333 0.667 0.667 Mg
0.667 0.333 0.333 Mg
0.000 0.000 0.446 Mn
0.000 0.000 0.761 Mn
0.333 0.667 0.112 Mn
0.333 0.667 0.427 Mn
0.667 0.333 0.094 Mn
0.667 0.333 0.779 Mn
0.000 0.000 0.219 Br
0.333 0.667 0.886 Br
0.667 0.333 0.553 Br

No. 4
TaCr3Cu2S8 PBE-GGA relaxed; ΔE_f (raw) = -708 meV per atom; E_tot = -6.56 eV/atom; total magnetization = 8.8 μB/cell
1.0
5.978 -3.562 0.000
5.978 3.562 0.000
-3.857 0.000 5.794
Ta Cr Cu S
1 3 2 8
Direct
0.000 0.000 0.000 Ta
0.490 0.008 0.001 Cr
0.991 0.009 0.500 Cr
0.992 0.510 0.999 Cr
0.371 0.377 0.626 Cu
0.623 0.629 0.374 Cu
0.229 0.761 0.250 S
0.233 0.248 0.760 S
0.237 0.257 0.233 S
0.239 0.771 0.750 S
0.743 0.763 0.767 S
0.745 0.237 0.245 S
0.752 0.767 0.240 S
0.763 0.255 0.755 S

No. 5
Ba3Sn7Pb2 PBE-GGA relaxed; E_tot = -3.81 eV/atom; calculated formation energy = -0.3758 eV per atom; total magnetization = 0.0 μB/cell
1.0
3.266 1.886 10.854
-3.266 1.886 10.854
0.000 -3.771 10.854
Ba Sn Pb
3 7 2
Direct
0.000 0.000 0.000 Ba
0.141 0.141 0.141 Ba
0.859 0.859 0.859 Ba
0.082 0.587 0.587 Sn
0.413 0.413 0.918 Sn
0.413 0.918 0.413 Sn
0.500 0.500 0.500 Sn
0.587 0.082 0.587 Sn
0.587 0.587 0.082 Sn
0.918 0.413 0.413 Sn
0.335 0.335 0.335 Pb
0.665 0.665 0.665 Pb

No. 6
NaLaInGa PBE-GGA relaxed; E_tot = -3.31 eV/atom; calculated formation energy = -0.3064 eV per atom; total magnetization = 0.0 μB/cell
1.0
7.538 0.000 0.000
0.000 7.538 0.000
0.000 0.000 7.538
Na La In Ga
4 4 4 4
Direct
0.000 0.000 0.000 Na
0.000 0.500 0.500 Na
0.500 0.000 0.500 Na
0.500 0.500 0.000 Na
0.000 0.000 0.500 La
0.000 0.500 0.000 La
0.500 0.000 0.000 La
0.500 0.500 0.500 La
0.250 0.250 0.250 In
0.250 0.750 0.750 In
0.750 0.250 0.750 In
0.750 0.750 0.250 In
0.250 0.250 0.750 Ga
0.250 0.750 0.250 Ga
0.750 0.250 0.250 Ga
0.750 0.750 0.750 Ga

No. 7
Ni2TeAs PBE-GGA relaxed; ΔE_f (raw) = 229 meV per atom; E_tot = -4.61 eV/atom; total magnetization = 0.0 μB/cell
1.0
3.733 0.000 0.000
0.000 3.733 0.000
0.000 0.000 9.272
Ni Te As
4 2 2
Direct
0.000 0.000 0.000 Ni
0.000 0.500 0.250 Ni
0.500 0.000 0.750 Ni
0.500 0.500 0.500 Ni
0.000 0.500 0.750 Te
0.500 0.000 0.250 Te
0.000 0.000 0.500 As
0.500 0.500 0.000 As

No. 8
Tb2Pr6Y3In PBE-GGA relaxed; E_tot = -5.04 eV/atom; calculated formation energy = -0.0360 eV per atom; total magnetization = 0.0 μB/cell
1.0
3.126 -5.431 0.000
3.126 5.431 0.000
-2.115 0.000 11.715
Tb Pr Y In
2 6 3 1
Direct
0.166 0.834 0.000 Tb
0.834 0.166 0.000 Tb
0.091 0.418 0.753 Pr
0.256 0.256 0.248 Pr
0.418 0.091 0.753 Pr
0.582 0.909 0.247 Pr
0.744 0.744 0.752 Pr
0.909 0.582 0.247 Pr
0.000 0.000 0.500 Y
0.333 0.667 0.500 Y
0.667 0.333 0.500 Y
0.500 0.500 0.000 In

No. 9
Na2AsS3 PBE-GGA relaxed; ΔE_f (raw) = -595 meV per atom; E_tot = -3.87 eV/atom; total magnetization = 0.0 μB/cell
1.0
6.428 -3.022 0.000
6.428 3.022 0.000
-1.956 0.000 6.810
Na As S
4 2 6
Direct
0.163 0.175 0.083 Na
0.175 0.163 0.583 Na
0.825 0.837 0.417 Na
0.837 0.825 0.917 Na
0.427 0.573 0.750 As
0.573 0.427 0.250 As
0.064 0.936 0.750 S
0.358 0.362 0.429 S
0.362 0.358 0.929 S
0.638 0.642 0.071 S
0.642 0.638 0.571 S
0.936 0.064 0.250 S

No. 10
La2InTc2 PBE-GGA relaxed; E_tot = -6.72 eV/atom; calculated formation energy = -0.0585 eV per atom; total magnetization = 0.0 μB/cell
1.0
7.212 0.000 0.000
0.000 7.212 0.000
0.000 0.000 4.727
La In Tc
4 2 4
Direct
0.182 0.318 0.000 La
0.318 0.818 0.000 La
0.682 0.182 0.000 La
0.818 0.682 0.000 La
0.000 0.000 0.500 In
0.500 0.500 0.500 In
0.112 0.612 0.500 Tc
0.388 0.112 0.500 Tc
0.612 0.888 0.500 Tc
0.888 0.388 0.500 Tc

No. 11
ErLu2Sb PBE-GGA relaxed; ΔE_f (raw) = -432 meV per atom; E_tot = -4.86 eV/atom; total magnetization = 0.0 μB/cell
1.0
3.911 0.000 0.000
0.000 3.911 0.000
0.000 0.000 7.176
Er Lu Sb
1 2 1
Direct
0.000 0.000 0.000 Er
0.500 0.500 0.272 Lu
0.500 0.500 0.728 Lu
0.000 0.000 0.500 Sb

No. 12
La4CrBr PBE-GGA relaxed; ΔE_f (raw) = 458 meV per atom; E_tot = -4.71 eV/atom; total magnetization = 5.9 μB/cell
1.0
0.000 4.626 4.626
4.626 0.000 4.626
4.626 4.626 0.000
La Cr Br
4 1 1
Direct
0.377 0.377 0.377 La
0.377 0.377 0.869 La
0.377 0.869 0.377 La
0.869 0.377 0.377 La
0.750 0.750 0.750 Cr
0.000 0.000 0.000 Br

No. 13
Tm5Zn2Os PBE-GGA relaxed; E_tot = -4.81 eV/atom; calculated formation energy = -0.2910 eV per atom; total magnetization = 0.0 μB/cell
1.0
-3.509 3.509 7.660
3.509 -3.509 7.660
3.509 3.509 -7.660
Tm Zn Os
10 4 2
Direct
0.000 0.000 0.000 Tm
0.023 0.523 0.856 Tm
0.167 0.023 0.500 Tm
0.333 0.833 0.856 Tm
0.477 0.333 0.500 Tm
0.500 0.500 0.000 Tm
0.523 0.667 0.500 Tm
0.667 0.167 0.144 Tm
0.833 0.977 0.500 Tm
0.977 0.477 0.144 Tm
0.121 0.379 0.500 Zn
0.379 0.879 0.258 Zn
0.621 0.121 0.742 Zn
0.879 0.621 0.500 Zn
0.250 0.250 0.000 Os
0.750 0.750 0.000 Os

No. 14
Pu2SbPd PBE-GGA relaxed; ΔE_f (raw) = -540 meV per atom; E_tot = -10.03 eV/atom; total magnetization = 11.4 μB/cell
1.0
4.015 0.000 0.000
0.000 4.015 0.000
0.000 0.000 5.809
Pu Sb Pd
2 1 1
Direct
0.000 0.000 0.246 Pu
0.000 0.000 0.754 Pu
0.500 0.500 0.500 Sb
0.500 0.500 0.000 Pd

No. 15
NaTb2AlO5 PBE-GGA relaxed; ΔE_f (raw) = -2877 meV per atom; E_tot = -7.22 eV/atom; total magnetization = 0.0 μB/cell
1.0
6.467 0.000 0.000
0.000 6.467 0.000
0.000 0.000 5.600
Na Tb Al O
2 4 2 10
Direct
0.000 0.000 0.000 Na
0.500 0.500 0.000 Na
0.179 0.321 0.500 Tb
0.321 0.821 0.500 Tb
0.679 0.179 0.500 Tb
0.821 0.679 0.500 Tb
0.000 0.500 0.000 Al
0.500 0.000 0.000 Al
0.000 0.000 0.500 O
0.135 0.635 0.235 O
0.135 0.635 0.765 O
0.365 0.135 0.235 O
0.365 0.135 0.765 O
0.500 0.500 0.500 O
0.635 0.865 0.235 O
0.635 0.865 0.765 O
0.865 0.365 0.235 O
0.865 0.365 0.765 O

No. 16
Mo2RuBr PBE-GGA relaxed; ΔE_f (raw) = 1015 meV per atom; E_tot = -7.14 eV/atom; total magnetization = 0.0 μB/cell
1.0
3.848 0.000 0.000
0.000 3.848 0.000
0.000 0.000 8.630
Mo Ru Br
4 2 2
Direct
0.000 0.000 0.000 Mo
0.000 0.500 0.250 Mo
0.500 0.000 0.750 Mo
0.500 0.500 0.500 Mo
0.000 0.500 0.750 Ru
0.500 0.000 0.250 Ru
0.000 0.000 0.500 Br
0.500 0.500 0.000 Br

No. 17
TlIn2Cu PBE-GGA relaxed; E_tot = -2.75 eV/atom; calculated formation energy = 0.2320 eV per atom; total magnetization = 0.0 μB/cell
1.0
4.626 0.000 0.000
0.000 4.626 0.000
0.000 0.000 4.455
Tl In Cu
1 2 1
Direct
0.000 0.000 0.000 Tl
0.000 0.500 0.500 In
0.500 0.000 0.500 In
0.500 0.500 0.000 Cu

No. 18
LaTc2GeRh PBE-GGA relaxed; E_tot = -7.20 eV/atom; calculated formation energy = 0.3291 eV per atom; total magnetization = 1.3 μB/cell
1.0
4.687 0.000 0.000
0.000 4.687 0.000
0.000 0.000 4.632
La Tc Ge Rh
1 2 1 1
Direct
0.000 0.000 0.000 La
0.000 0.500 0.500 Tc
0.500 0.000 0.500 Tc
0.500 0.500 0.500 Ge
0.500 0.500 0.000 Rh

No. 19
Li2PrZn2Pd2 PBE-GGA relaxed; E_tot = -3.58 eV/atom; calculated formation energy = -0.5008 eV per atom; total magnetization = 0.0 μB/cell
1.0
7.603 0.000 0.000
0.000 4.406 0.000
-2.565 0.000 7.632
Li Pr Zn Pd
4 2 4 4
Direct
0.143 0.000 0.426 Li
0.357 0.500 0.574 Li
0.643 0.500 0.426 Li
0.857 0.000 0.574 Li
0.000 0.000 0.000 Pr
0.500 0.500 0.000 Pr
0.066 0.500 0.703 Zn
0.434 0.000 0.297 Zn
0.566 0.000 0.703 Zn
0.934 0.500 0.297 Zn
0.246 0.500 0.236 Pd
0.254 0.000 0.764 Pd
0.746 0.000 0.236 Pd
0.754 0.500 0.764 Pd

No. 20
PmMgScCo PBE-GGA relaxed; E_tot = -4.92 eV/atom; calculated formation energy = 0.0239 eV per atom; total magnetization = 1.1 μB/cell
1.0
6.989 0.000 0.000
0.000 6.989 0.000
0.000 0.000 6.989
Pm Mg Sc Co
4 4 4 4
Direct
0.000 0.000 0.000 Pm
0.000 0.500 0.500 Pm
0.500 0.000 0.500 Pm
0.500 0.500 0.000 Pm
0.250 0.250 0.250 Mg
0.250 0.750 0.750 Mg
0.750 0.250 0.750 Mg
0.750 0.750 0.250 Mg
0.000 0.000 0.500 Sc
0.000 0.500 0.000 Sc
0.500 0.000 0.000 Sc
0.500 0.500 0.500 Sc
0.250 0.250 0.750 Co
0.250 0.750 0.250 Co
0.750 0.250 0.250 Co
0.750 0.750 0.750 Co

No. 21
RbGaCu3 PBE-GGA relaxed; E_tot = -2.89 eV/atom; calculated formation energy = 0.3642 eV per atom; total magnetization = 0.0 μB/cell
1.0
4.819 0.000 0.000
0.000 4.819 0.000
0.000 0.000 4.819
Rb Ga Cu
1 1 3
Direct
0.000 0.000 0.000 Rb
0.500 0.500 0.500 Ga
0.000 0.500 0.500 Cu
0.500 0.000 0.500 Cu
0.500 0.500 0.000 Cu

No. 22
GaSiAg2P PBE-GGA relaxed; ΔE_f (raw) = 973 meV per atom; E_tot = -2.94 eV/atom; total magnetization = 0.0 μB/cell
1.0
4.836 0.000 0.000
0.000 4.836 0.000
0.000 0.000 4.794
Ga Si Ag P
1 1 2 1
Direct
0.000 0.000 0.000 Ga
0.000 0.000 0.500 Si
0.000 0.500 0.000 Ag
0.500 0.000 0.000 Ag
0.500 0.500 0.500 P

No. 23
Y4ErS4 PBE-GGA relaxed; ΔE_f (raw) = -1761 meV per atom; E_tot = -6.98 eV/atom; total magnetization = 0.0 μB/cell
1.0
-4.325 4.325 2.756
4.325 -4.325 2.756
4.325 4.325 -2.756
Y Er S
4 1 4
Direct
0.102 0.301 0.403 Y
0.301 0.898 0.199 Y
0.699 0.102 0.801 Y
0.898 0.699 0.597 Y
0.500 0.500 0.000 Er
0.201 0.598 0.799 S
0.402 0.201 0.603 S
0.598 0.799 0.397 S
0.799 0.402 0.201 S

No. 24
Cs3CeSe3 PBE-GGA relaxed; ΔE_f (raw) = -1355 meV per atom; E_tot = -4.06 eV/atom; total magnetization = 4.0 μB/cell
1.0
10.342 0.000 0.000
0.000 9.178 0.000
-1.152 0.000 14.354
Cs Ce Se
12 4 12
Direct
0.070 0.142 0.138 Cs
0.070 0.358 0.638 Cs
0.347 0.716 0.800 Cs
0.347 0.784 0.300 Cs
0.382 0.202 0.925 Cs
0.382 0.298 0.425 Cs
0.618 0.702 0.575 Cs
0.618 0.798 0.075 Cs
0.653 0.216 0.700 Cs
0.653 0.284 0.200 Cs
0.930 0.642 0.362 Cs
0.930 0.858 0.862 Cs
0.164 0.587 0.061 Ce
0.164 0.913 0.561 Ce
0.836 0.087 0.439 Ce
0.836 0.413 0.939 Ce
0.098 0.050 0.385 Se
0.098 0.450 0.885 Se
0.257 0.633 0.529 Se
0.257 0.867 0.029 Se
0.337 0.077 0.674 Se
0.337 0.423 0.174 Se
0.663 0.577 0.826 Se
0.663 0.923 0.326 Se
0.743 0.133 0.971 Se
0.743 0.367 0.471 Se
0.902 0.550 0.115 Se
0.902 0.950 0.615 Se